[1]
First-principles (PBE) data for an optimized crystal structure of Al2ZnNi, as listed in Alexandria via LeMat-Bulk.

Summary:
**N(E_F)**: 0.416 states/eV per atom
**E_form**: -0.264 eV/atom
**Magnetic moment**: 0.00 μB per formula unit
**SG**: P4/mmm (123)

Cell: 2.8158 2.8158 7.0454 Å, 90.00 90.00 89.99°
With the nearest neighbours (Å) after each atom.
Fractional positions:
Al  0.0000  0.0000  0.0331  4 Ni 2.51
Al  0.0000  0.0000  0.4669  4 Ni 2.51
Ni  0.5000  0.5000  0.2500  8 Al 2.51
Zn  0.5000  0.5000  0.7500  4 Zn 2.82, 8 Al 2.82

[2]
First-principles (PBE) data for an optimized crystal structure of BaCdH8Pt2, as listed in Alexandria via LeMat-Bulk.

Summary:
**N(E_F)**: 0.227 states/eV per atom
**Magnetic moment**: 0.00 μB per formula unit
**SG**: R-3 (148)
**Total DFT energy (no corrections)**: -42.48 eV per formula unit

Cell: 5.1296 5.1296 6.9360 Å, 68.30 68.30 60.00°
With the nearest neighbours (Å) after each atom.
Fractional positions:
Ba  0.5000  0.5000  0.5000  6 H 2.62
H  0.7164  0.0585  0.8202  1 Pt 1.68
Cd  0.0000  0.0000  0.0000  6 H 2.10
H  0.0585  0.4049  0.8202  1 Pt 1.68
H  0.2836  0.9415  0.1798  1 Pt 1.68
H  0.5951  0.2836  0.1798  1 Pt 1.68
H  0.4049  0.7164  0.8202  1 Pt 1.68
H  0.1912  0.1912  0.4263  1 Pt 1.59
Pt  0.2760  0.2760  0.1721  4 H 1.59-1.68
Pt  0.7240  0.7240  0.8279  4 H 1.59-1.68
H  0.9415  0.5951  0.1798  1 Pt 1.68
H  0.8088  0.8088  0.5737  1 Pt 1.59

[3]
First-principles (PBE) data for an optimized crystal structure of La2NdTl2Hg2, as listed in Alexandria via LeMat-Bulk.

Summary:
**N(E_F)**: 0.527 states/eV per atom
**E_form**: -0.269 eV/atom
**Magnetic moment**: 0.00 μB per formula unit
**SG**: R-3m (166)

Cell: 5.0095 5.0095 9.7612 Å, 75.13 75.13 60.00°
With the nearest neighbours (Å) after each atom.
Fractional positions:
Tl  0.7254  0.7254  0.8238  3 Hg 3.06, 3 Nd 3.33
Tl  0.2746  0.2746  0.1762  3 Hg 3.06, 3 Nd 3.33
Hg  0.5727  0.5727  0.2819  3 Tl 3.06, 3 La 3.14
Nd  0.0000  0.0000  0.0000  6 Tl 3.33
Hg  0.4273  0.4273  0.7181  3 Tl 3.06, 3 La 3.14
La  0.8620  0.8620  0.4141  3 Hg 3.14, 3 La 3.31
La  0.1380  0.1380  0.5859  3 Hg 3.14, 3 La 3.31

[4]
First-principles (PBE) data for an optimized crystal structure of CaMg2Cd4Ag, as listed in Alexandria via LeMat-Bulk.

Summary:
**N(E_F)**: 0.252 states/eV per atom
**E_form**: -0.145 eV/atom
**Magnetic moment**: 0.00 μB per formula unit
**SG**: R-3m (166)

Cell: 4.9206 4.9206 9.1711 Å, 74.44 74.44 60.00°
With the nearest neighbours (Å) after each atom.
Fractional positions:
Mg  0.7524  0.7524  0.7429  7 Cd 2.95-3.12
Cd  0.1282  0.1282  0.6154  3 Ag 3.01, 4 Mg 3.05-3.12, 1 Ca 3.35
Ca  0.0000  0.0000  0.0000  8 Cd 3.18-3.35
Mg  0.2476  0.2476  0.2571  7 Cd 2.95-3.12
Ag  0.5000  0.5000  0.5000  8 Cd 2.93-3.01
Cd  0.8718  0.8718  0.3846  3 Ag 3.01, 4 Mg 3.05-3.12, 1 Ca 3.35
Cd  0.3881  0.3881  0.8356  1 Ag 2.93, 3 Mg 2.95, 3 Ca 3.18
Cd  0.6119  0.6119  0.1644  1 Ag 2.93, 3 Mg 2.95, 3 Ca 3.18

[5]
First-principles (PBE) data for an optimized crystal structure of Mn2InRhC, as listed in Alexandria via LeMat-Bulk.

Summary:
**N(E_F)**: 0.772 states/eV per atom
**E_form**: -0.036 eV/atom
**Magnetic moment**: 4.09 μB per formula unit
**SG**: P4/mmm (123)

Cell: 3.9260 3.9260 4.2110 Å, 90.00 90.00 90.00°
With the nearest neighbours (Å) after each atom.
Fractional positions:
Rh  0.0000  0.0000  0.5000  2 C 2.11
In  0.5000  0.5000  0.5000  4 Rh 2.78, 8 Mn 2.88
C  0.0000  0.0000  0.0000  4 Mn 1.96, 2 Rh 2.11
Mn  0.0000  0.5000  0.0000  2 C 1.96
Mn  0.5000  0.0000  0.0000  2 C 1.96

[6]
First-principles (PBE) data for an optimized crystal structure of DyThRh4, as listed in Alexandria via LeMat-Bulk.

Summary:
**N(E_F)**: 0.654 states/eV per atom
**E_form**: -0.754 eV/atom
**Magnetic moment**: 0.00 μB per formula unit
**SG**: F-43m (216)

Cell: 5.3842 5.3842 5.3842 Å, 60.00 60.00 60.00°
With the nearest neighbours (Å) after each atom.
Fractional positions:
Dy  0.2500  0.2500  0.2500  12 Rh 3.16, 4 Th 3.30
Rh  0.6246  0.6246  0.1263  6 Rh 2.68-2.70
Rh  0.6246  0.1263  0.6246  6 Rh 2.68-2.70
Rh  0.1263  0.6246  0.6246  6 Rh 2.68-2.70
Rh  0.6246  0.6246  0.6246  6 Rh 2.68-2.70
Th  0.0000  0.0000  0.0000  12 Rh 3.16, 4 Dy 3.30

[7]
First-principles (PBE) data for an optimized crystal structure of Ba2SrAs2, as listed in Alexandria via LeMat-Bulk.

Summary:
**N(E_F)**: 0.051 states/eV per atom
**E_form**: -0.743 eV/atom
**Magnetic moment**: 0.00 μB per formula unit
**SG**: P4/mbm (127)
**Energy above the most stable polymorph in this dataset**: 1.62 eV per formula unit

Cell: 9.1334 9.1334 4.0557 Å, 90.00 90.00 90.00°
With the nearest neighbours (Å) after each atom.
Fractional positions:
As  0.6755  0.8245  0.5000  6 Ba 3.26-3.45
As  0.8245  0.3245  0.5000  6 Ba 3.26-3.45
Ba  0.6269  0.1269  0.0000  6 As 3.26-3.45, 1 Ba 3.28, 2 Sr 3.60
Sr  0.0000  0.0000  0.0000  4 Ba 3.60, 8 As 3.93
Ba  0.3731  0.8731  0.0000  6 As 3.26-3.45, 1 Ba 3.28, 2 Sr 3.60
Ba  0.1269  0.3731  0.0000  6 As 3.26-3.45, 1 Ba 3.28, 2 Sr 3.60
Ba  0.8731  0.6269  0.0000  6 As 3.26-3.45, 1 Ba 3.28, 2 Sr 3.60
Sr  0.5000  0.5000  0.0000  4 Ba 3.60, 8 As 3.93
As  0.1755  0.6755  0.5000  6 Ba 3.26-3.45
As  0.3245  0.1755  0.5000  6 Ba 3.26-3.45

[8]
First-principles (PBE) data for an optimized crystal structure of Ac4IrPd, as listed in Alexandria via LeMat-Bulk.

Summary:
**N(E_F)**: 0.840 states/eV per atom
**E_form**: -0.536 eV/atom
**Magnetic moment**: 0.00 μB per formula unit
**SG**: C2/c (15)
**Energy above the most stable polymorph in this dataset**: 0.09 eV per formula unit

Cell: 7.5101 7.5258 9.5553 Å, 105.92 105.86 107.69°
With the nearest neighbours (Å) after each atom.
Fractional positions:
Ac  0.6975  0.9555  0.3822  1 Ir 2.91, 1 Pd 3.01
Ac  0.8153  0.5733  0.6178  1 Ir 2.91, 1 Pd 3.01
Ac  0.9476  0.1899  0.8949  2 Ir 3.01-3.06, 2 Pd 3.11-3.14
Pd  0.3269  0.5769  0.1538  6 Ac 3.01-3.14
Ac  0.0524  0.8101  0.1051  2 Ir 3.01-3.06, 2 Pd 3.11-3.14
Ac  0.4473  0.7050  0.8949  2 Ir 3.01-3.06, 2 Pd 3.11-3.14
Ac  0.1847  0.4267  0.3822  1 Ir 2.91, 1 Pd 3.01
Pd  0.6731  0.4231  0.8462  6 Ac 3.01-3.14
Ac  0.5527  0.2950  0.1051  2 Ir 3.01-3.06, 2 Pd 3.11-3.14
Ac  0.3025  0.0445  0.6178  1 Ir 2.91, 1 Pd 3.01
Ir  0.8236  0.0736  0.1473  6 Ac 2.91-3.06
Ir  0.1764  0.9264  0.8527  6 Ac 2.91-3.06

[9]
First-principles (PBE) data for an optimized crystal structure of BaBe2Mo, as listed in Alexandria via LeMat-Bulk.

Summary:
**N(E_F)**: 0.707 states/eV per atom
**E_form**: 0.461 eV/atom
**Magnetic moment**: 0.00 μB per formula unit
**SG**: P2/m (10)
**Energy above the most stable polymorph in this dataset**: 0.00 eV per formula unit

Cell: 3.2467 3.2537 7.6234 Å, 64.55 90.00 90.00°
With the nearest neighbours (Å) after each atom.
Fractional positions:
Be  0.0000  0.6043  0.3952  1 Be 2.00
Be  0.0000  0.8957  0.1048  1 Be 2.00
Ba  0.5000  0.7500  0.7500  4 Ba 3.25, 8 Be 3.35-3.36, 2 Mo 3.44
Mo  0.5000  0.2500  0.2500  8 Be 2.51

[10]
First-principles (PBE) data for an optimized crystal structure of Rb2NpAu2O6, as listed in Alexandria via LeMat-Bulk.

Summary:
**N(E_F)**: 0.668 states/eV per atom
**Magnetic moment**: 0.00 μB per formula unit
**SG**: R-3m (166)
**Formation energy without anion corrections**: -15.49 eV/f.u.

Cell: 6.4452 6.4452 6.9340 Å, 62.31 62.31 60.00°
With the nearest neighbours (Å) after each atom.
Fractional positions:
Au  0.4135  0.4135  0.7596  3 O 2.12
O  0.7848  0.2160  0.2143  1 Np 2.04, 1 Au 2.12
Au  0.5865  0.5865  0.2404  3 O 2.12
Rb  0.2170  0.2170  0.3490  9 O 3.02-3.33
O  0.7848  0.7848  0.2143  1 Np 2.04, 1 Au 2.12
Rb  0.7830  0.7830  0.6510  9 O 3.02-3.33
O  0.2152  0.7840  0.7857  1 Np 2.04, 1 Au 2.12
O  0.2160  0.7848  0.2143  1 Np 2.04, 1 Au 2.12
O  0.2152  0.2152  0.7857  1 Np 2.04, 1 Au 2.12
O  0.7840  0.2152  0.7857  1 Np 2.04, 1 Au 2.12
Np  0.0000  0.0000  0.0000  6 O 2.04

What is the formula in the second record?
BaCdH8Pt2

The highest N(E_F) belongs to which entry?
Ac4IrPd

Which value of N(E_F) does entry 2 give?
0.227 states/eV per atom

Among the records above, which one has the lowest N(E_F)?
Ba2SrAs2